No. 1
## KMnAu2 (PBE)

Data for an optimized crystal structure of KMnAu2.

The structure in extended XYZ format:
```
4
Lattice="4.644 -0.017 0.005 2.337 4.013 0.005 2.324 1.330 5.928" Properties=species:S:1:pos:R:3 pbc="T T T"
Mn 6.979 3.995 4.453
Au 4.653 2.663 4.022
Au 2.324 1.330 4.875
K 2.326 1.332 1.484
```

Its formation energy is -44 meV per atom. The total energy comes out at -4.25 eV/atom. Its magnetic moment is 4.30 Bohr magnetons per cell. As for the space-group type: R-3m, No. 166.

***

No. 2
## K2MnAu (PBE)

Data for an optimized crystal structure of K2MnAu.

The structure in extended XYZ format:
```
8
Lattice="-8.681 1.391 -7.698 6.259 -5.663 -8.082 -2.247 -4.371 -7.126" Properties=species:S:1:pos:R:3 pbc="T T T"
Mn 1.401 -6.085 -11.549
Mn -1.211 -2.136 -7.890
Au -6.069 -2.558 -11.357
K -5.139 -3.272 -14.361
Au 0.000 0.000 0.000
K -3.513 -4.047 -10.074
K -9.143 -2.185 -12.259
K -6.481 -0.726 -8.735
```

Its formation energy is 343 meV per atom. The total energy comes out at -3.32 eV/atom. The energy above the lowest structure with this stoichiometry is 0.172 eV/atom. Its magnetic moment is 8.31 Bohr magnetons per cell. As for the space-group type: I-42d, No. 122.

***

No. 3
## KMnAu (PBE)

Data for an optimized crystal structure of KMnAu.

The structure in extended XYZ format:
```
3
Lattice="-2.752 -3.080 -5.192 2.419 -3.731 -4.924 -0.754 1.394 6.443" Properties=species:S:1:pos:R:3 pbc="T T T"
Au -0.019 -0.396 -0.588
Mn -0.201 -4.117 -6.115
K -0.112 -2.298 -3.413
```

Its formation energy is 220 meV per atom. The total energy comes out at -4.29 eV/atom. The energy above the lowest structure with this stoichiometry is 0.000 eV/atom. Its magnetic moment is 4.26 Bohr magnetons per cell. As for the space-group type: Imm2, No. 44.

***

Copy entry 1 word for word.
## KMnAu2 (PBE)

Data for an optimized crystal structure of KMnAu2.

The structure in extended XYZ format:
```
4
Lattice="4.644 -0.017 0.005 2.337 4.013 0.005 2.324 1.330 5.928" Properties=species:S:1:pos:R:3 pbc="T T T"
Mn 6.979 3.995 4.453
Au 4.653 2.663 4.022
Au 2.324 1.330 4.875
K 2.326 1.332 1.484
```

Its formation energy is -44 meV per atom. The total energy comes out at -4.25 eV/atom. Its magnetic moment is 4.30 Bohr magnetons per cell. As for the space-group type: R-3m, No. 166.

***

Copy entry 2 word for word.
## K2MnAu (PBE)

Data for an optimized crystal structure of K2MnAu.

The structure in extended XYZ format:
```
8
Lattice="-8.681 1.391 -7.698 6.259 -5.663 -8.082 -2.247 -4.371 -7.126" Properties=species:S:1:pos:R:3 pbc="T T T"
Mn 1.401 -6.085 -11.549
Mn -1.211 -2.136 -7.890
Au -6.069 -2.558 -11.357
K -5.139 -3.272 -14.361
Au 0.000 0.000 0.000
K -3.513 -4.047 -10.074
K -9.143 -2.185 -12.259
K -6.481 -0.726 -8.735
```

Its formation energy is 343 meV per atom. The total energy comes out at -3.32 eV/atom. The energy above the lowest structure with this stoichiometry is 0.172 eV/atom. Its magnetic moment is 8.31 Bohr magnetons per cell. As for the space-group type: I-42d, No. 122.